[1]
# FeTc2Sb2 (PBE, relaxed)
# Raw formation energy   0.742 eV/atom
# VASP energy   -6.746 eV/atom
# Density   8.1 g/cm³
# Density of states at the Fermi level   10.951 states/eV/cell
# Distance to the lowest polymorph of the same formula   409 meV per atom
data_FeTc2Sb2
_cell_length_a 5.1387
_cell_length_b 5.1387
_cell_length_c 7.7330
_cell_angle_alpha 90.00
_cell_angle_beta 90.00
_cell_angle_gamma 90.00
_space_group_name_H-M_alt 'I 4/m m m'
_space_group_IT_number 139
_space_group_name_Hall '-I 4 2'
loop_
_atom_site_label
_atom_site_fract_x
_atom_site_fract_y
_atom_site_fract_z
_atom_site_occupancy
Fe1 0.0000 0.0000 0.0000 1
Tc1 0.0000 0.0000 0.3556 1
Sb1 0.0000 0.5000 0.2500 1

***

[2]
# PmGa12Rh6 (PBE, relaxed)
# VASP energy   -5.020 eV/atom
# Density   8.2 g/cm³
# Density of states at the Fermi level   21.250 states/eV/cell
# Formation energy   -537 meV/atom
data_PmGa12Rh6
_cell_length_a 11.3743
_cell_length_b 11.3743
_cell_length_c 8.6372
_cell_angle_alpha 90.00
_cell_angle_beta 90.00
_cell_angle_gamma 120.00
_space_group_name_H-M_alt 'R -3 m'
_space_group_IT_number 166
_space_group_name_Hall '-R 3 2"'
loop_
_atom_site_label
_atom_site_fract_x
_atom_site_fract_y
_atom_site_fract_z
_atom_site_occupancy
Pm1 0.0000 0.0000 0.0000 1
Ga1 0.0000 0.3854 0.5000 1
Ga2 0.0902 0.1803 0.3151 1
Rh1 0.0514 0.5257 0.2503 1

***

[3]
# Y2Zn5CdRu2 (PBE, relaxed)
# VASP energy   -4.057 eV/atom
# Density   7.3 g/cm³
# Density of states at the Fermi level   11.876 states/eV/cell
# Formation energy   -181 meV/atom
data_Y2Zn5CdRu2
_cell_length_a 9.4933
_cell_length_b 9.4933
_cell_length_c 4.1416
_cell_angle_alpha 90.00
_cell_angle_beta 90.00
_cell_angle_gamma 90.00
_space_group_name_H-M_alt 'P 4/m b m'
_space_group_IT_number 127
_space_group_name_Hall '-P 4 2ab'
loop_
_atom_site_label
_atom_site_fract_x
_atom_site_fract_y
_atom_site_fract_z
_atom_site_occupancy
Y1 0.1756 0.3244 0.0000 1
Zn1 0.0000 0.5000 0.5000 1
Zn2 0.0645 0.7858 0.5000 1
Cd1 0.0000 0.0000 0.0000 1
Ru1 0.1206 0.6206 0.0000 1

***

[4]
# AlCOF2 (PBE, relaxed)
# Raw formation energy   -0.859 eV/atom
# VASP energy   -5.192 eV/atom
# Density   3.1 g/cm³
# Density of states at the Fermi level   0.378 states/eV/cell
# Distance to the lowest polymorph of the same formula   0 meV per atom
data_AlCOF2
_cell_length_a 3.5976
_cell_length_b 3.5976
_cell_length_c 3.8753
_cell_angle_alpha 90.00
_cell_angle_beta 90.00
_cell_angle_gamma 90.00
_space_group_name_H-M_alt 'P 4/m m m'
_space_group_IT_number 123
_space_group_name_Hall '-P 4 2'
loop_
_atom_site_label
_atom_site_fract_x
_atom_site_fract_y
_atom_site_fract_z
_atom_site_occupancy
Al1 0.0000 0.0000 0.0000 1
C1 0.5000 0.5000 0.5000 1
O1 0.0000 0.0000 0.5000 1
F1 0.0000 0.5000 0.0000 1

***

[5]
# Li2Pr2TmSn2 (PBE, relaxed)
# VASP energy   -4.148 eV/atom
# Density   6.4 g/cm³
# Density of states at the Fermi level   14.832 states/eV/cell
# Formation energy   -453 meV/atom
data_Li2Pr2TmSn2
_cell_length_a 4.7866
_cell_length_b 4.7866
_cell_length_c 27.6774
_cell_angle_alpha 90.00
_cell_angle_beta 90.00
_cell_angle_gamma 120.00
_space_group_name_H-M_alt 'R -3 m'
_space_group_IT_number 166
_space_group_name_Hall '-R 3 2"'
loop_
_atom_site_label
_atom_site_fract_x
_atom_site_fract_y
_atom_site_fract_z
_atom_site_occupancy
Li1 0.0000 0.0000 0.1096 1
Pr1 0.0000 0.0000 0.3730 1
Tm1 0.0000 0.0000 0.5000 1
Sn1 0.0000 0.0000 0.2306 1

***

[6]
# CaLa4Mg (PBE, relaxed)
# VASP energy   -3.893 eV/atom
# Density   4.8 g/cm³
# Density of states at the Fermi level   9.273 states/eV/cell
# Distance to the lowest polymorph of the same formula   0 meV per atom
# Formation energy   -9 meV/atom
data_CaLa4Mg
_cell_length_a 3.7883
_cell_length_b 3.7883
_cell_length_c 15.0613
_cell_angle_alpha 90.00
_cell_angle_beta 90.00
_cell_angle_gamma 90.00
_space_group_name_H-M_alt 'P 4/m m m'
_space_group_IT_number 123
_space_group_name_Hall '-P 4 2'
loop_
_atom_site_label
_atom_site_fract_x
_atom_site_fract_y
_atom_site_fract_z
_atom_site_occupancy
Ca1 0.0000 0.0000 0.0000 1
La1 0.0000 0.0000 0.3535 1
La2 0.5000 0.5000 0.1874 1
Mg1 0.5000 0.5000 0.5000 1

***

[7]
# InOs2Ru (PBE, relaxed)
# VASP energy   -8.134 eV/atom
# Density   15.9 g/cm³
# Density of states at the Fermi level   9.196 states/eV/cell
# Formation energy   484 meV/atom
data_InOs2Ru
_cell_length_a 3.8680
_cell_length_b 3.8680
_cell_length_c 8.3035
_cell_angle_alpha 90.00
_cell_angle_beta 90.00
_cell_angle_gamma 90.00
_space_group_name_H-M_alt 'I 4/m m m'
_space_group_IT_number 139
_space_group_name_Hall '-I 4 2'
loop_
_atom_site_label
_atom_site_fract_x
_atom_site_fract_y
_atom_site_fract_z
_atom_site_occupancy
In1 0.0000 0.0000 0.0000 1
Os1 0.0000 0.5000 0.2500 1
Ru1 0.0000 0.0000 0.5000 1

***

[8]
# HgTe2Au (PBE, relaxed)
# Raw formation energy   0.247 eV/atom
# VASP energy   -2.219 eV/atom
# Density   9.6 g/cm³
# Density of states at the Fermi level   1.441 states/eV/cell
data_HgTe2Au
_cell_length_a 3.7777
_cell_length_b 3.7777
_cell_length_c 7.9114
_cell_angle_alpha 90.00
_cell_angle_beta 90.00
_cell_angle_gamma 90.00
_space_group_name_H-M_alt 'P 4/m m m'
_space_group_IT_number 123
_space_group_name_Hall '-P 4 2'
loop_
_atom_site_label
_atom_site_fract_x
_atom_site_fract_y
_atom_site_fract_z
_atom_site_occupancy
Hg1 0.0000 0.0000 0.0000 1
Te1 0.5000 0.5000 0.3171 1
Au1 0.0000 0.0000 0.5000 1